[1]
Ca2SnPdAu | PBE-GGA | relaxed

Lattice parameters (Å, degrees): 5.8952 4.8987 5.8952 90.00 90.00 90.00
Atoms (fractional coordinates):
Ca1 0.0000 0.0000 0.5000
Ca2 0.5000 0.0000 0.0000
Au1 0.5000 0.5000 0.5000
Sn1 0.0000 0.0000 0.0000
Pd1 0.0000 0.5000 0.0000

Summary:
As for the formation energy: -3.7 kJ per mole of atoms.

***

[2]
Co2Ni2W | PBE-GGA | relaxed

Lattice parameters (Å, degrees): 6.7993 6.7993 2.5901 90.00 90.00 90.00
Last column: magnetic moment on the atom in μB.
Atoms (fractional coordinates):
Ni1 0.1747 0.6747 0.5000  0.56
Ni2 0.6747 0.8253 0.5000  0.55
Ni3 0.8253 0.3253 0.5000  0.56
Ni4 0.3253 0.1747 0.5000  0.55
Co1 0.3783 0.8783 0.0000  1.43
Co2 0.8783 0.6217 0.0000  1.41
Co3 0.6217 0.1217 0.0000  1.43
Co4 0.1217 0.3783 0.0000  1.41
W1 0.0000 0.0000 0.0000  -0.05
W2 0.5000 0.5000 0.0000  -0.05

Summary:
As for the formation energy: 18.9 kJ per mole of atoms. The energy above the most stable polymorph in this dataset is 10 meV/atom.

***

[3]
Tb5PmDy2 | PBE-GGA | relaxed

Lattice parameters (Å, degrees): 8.5163 8.5446 11.3889 70.37 135.94 114.87
Atoms (fractional coordinates):
Tb1 0.0514 0.8875 0.9548
Tb2 0.9070 0.9190 0.5944
Tb3 0.3141 0.8251 0.3863
Tb4 0.5262 0.8170 0.1026
Tb5 0.5602 0.1868 0.2477
Tb6 0.4398 0.8132 0.7523
Tb7 0.6859 0.1749 0.6137
Tb8 0.4738 0.1830 0.8974
Tb9 0.9486 0.1125 0.0452
Tb10 0.0930 0.0810 0.4056
Pm1 0.7257 0.5171 0.7475
Pm2 0.2743 0.4829 0.2525
Dy1 0.8491 0.5989 0.4555
Dy2 0.7872 0.5669 0.1127
Dy3 0.1509 0.4011 0.5445
Dy4 0.2128 0.4331 0.8873

Summary:
As for the formation energy: 15.2 kJ per mole of atoms. The energy above the most stable polymorph in this dataset is 143 meV/atom.

***

[4]
OsPt3 | PBE-GGA | relaxed

Lattice parameters (Å, degrees): 5.0255 5.0255 5.0255 90.00 90.00 90.00
Last column: magnetic moment on the atom in μB.
Atoms (fractional coordinates):
Os1 0.0000 0.0000 0.0000  0.79
Os2 0.5000 0.5000 0.5000  0.79
Pt1 0.0000 0.2500 0.5000  0.16
Pt2 0.0000 0.7500 0.5000  0.16
Pt3 0.2500 0.5000 0.0000  0.16
Pt4 0.5000 0.0000 0.2500  0.16
Pt5 0.5000 0.0000 0.7500  0.16
Pt6 0.7500 0.5000 0.0000  0.16

Summary:
As for the formation energy: 39.4 kJ per mole of atoms.

***

no.,total magnetization (μB per formula unit),energy (eV per formula unit)
1,0.000,-16.668
2,3.805,-37.748
3,0.000,-35.845
4,1.296,-27.720